No. 1
# CuTe2Pb | Alexandria via LeMat-Bulk | PBE | optimized geometry
# **Energy relative to the elements, uncorrected**: 237.7 meV per atom
# **Energy**: -13.14 eV per formula unit
# **M_tot**: 0.00 μB/f.u.
data_CuTe2Pb
_symmetry_space_group_name_H-M 'C m m m'
_symmetry_Int_Tables_number 65
_symmetry_space_group_name_Hall '-C 2 2'
_cell_length_a 6.6147
_cell_length_b 7.9468
_cell_length_c 4.1315
_cell_angle_alpha 90.00
_cell_angle_beta 90.00
_cell_angle_gamma 90.00
loop_
_atom_site_label
_atom_site_type_symbol
_atom_site_fract_x
_atom_site_fract_y
_atom_site_fract_z
Cu1 Cu 0.0000 0.0000 0.0000
Te1 Te 0.2500 0.2500 0.5000
Pb1 Pb 0.0000 0.5000 0.0000

***

No. 2
# Mg5Zn4Ag | Alexandria via LeMat-Bulk | PBE | optimized geometry
# **Energy of formation from the pure elements**: -0.105 eV per atom
# **Energy**: -16.97 eV per formula unit
# **M_tot**: 0.00 μB/f.u.
data_Mg5Zn4Ag
_symmetry_space_group_name_H-M 'P 4/m m m'
_symmetry_Int_Tables_number 123
_symmetry_space_group_name_Hall '-P 4 2'
_cell_length_a 3.3075
_cell_length_b 3.3075
_cell_length_c 16.5707
_cell_angle_alpha 90.00
_cell_angle_beta 90.00
_cell_angle_gamma 90.00
loop_
_atom_site_label
_atom_site_type_symbol
_atom_site_fract_x
_atom_site_fract_y
_atom_site_fract_z
Mg1 Mg 0.0000 0.0000 0.0000
Mg2 Mg 0.0000 0.0000 0.1963
Mg3 Mg 0.0000 0.0000 0.3970
Zn1 Zn 0.5000 0.5000 0.0985
Zn2 Zn 0.5000 0.5000 0.2958
Ag1 Ag 0.5000 0.5000 0.5000

***

No. 3
# LaSm3Tm4 | Alexandria via LeMat-Bulk | PBE | optimized geometry
# **Energy of formation from the pure elements**: 0.027 eV per atom
# **Energy**: -36.76 eV per formula unit
# **M_tot**: 0.00 μB/f.u.
data_LaSm3Tm4
_symmetry_space_group_name_H-M 'P m n 21'
_symmetry_Int_Tables_number 31
_symmetry_space_group_name_Hall 'P 2ac -2'
_cell_length_a 11.4261
_cell_length_b 7.2911
_cell_length_c 6.2705
_cell_angle_alpha 90.00
_cell_angle_beta 90.00
_cell_angle_gamma 90.00
loop_
_atom_site_label
_atom_site_type_symbol
_atom_site_fract_x
_atom_site_fract_y
_atom_site_fract_z
La1 La 0.0000 0.1244 0.0000
Sm1 Sm 0.0000 0.8693 0.5058
Sm2 Sm 0.2479 0.1297 0.3403
Tm1 Tm 0.0000 0.3813 0.5039
Tm2 Tm 0.0000 0.6208 0.0068
Tm3 Tm 0.2491 0.6205 0.3387

***

No. 4
# TbPm8Bi6 | Alexandria via LeMat-Bulk | PBE | optimized geometry
# **Energy of formation from the pure elements**: -0.584 eV per atom
# **Energy**: -74.68 eV per formula unit
# **M_tot**: 0.00 μB/f.u.
data_TbPm8Bi6
_symmetry_space_group_name_H-M 'R -3'
_symmetry_Int_Tables_number 148
_symmetry_space_group_name_Hall '-R 3'
_cell_length_a 8.2753
_cell_length_b 8.2753
_cell_length_c 26.3535
_cell_angle_alpha 90.00
_cell_angle_beta 90.00
_cell_angle_gamma 120.00
loop_
_atom_site_label
_atom_site_type_symbol
_atom_site_fract_x
_atom_site_fract_y
_atom_site_fract_z
Tb1 Tb 0.0000 0.0000 0.0000
Pm1 Pm 0.0000 0.0000 0.3332
Pm2 Pm 0.0016 0.3382 0.8779
Bi1 Bi 0.0011 0.3293 0.0659

***

No. 5
# LiCaTc | Alexandria via LeMat-Bulk | PBE | optimized geometry
# **Energy of formation from the pure elements**: 0.636 eV per atom
# **Energy**: -12.37 eV per formula unit
# **M_tot**: 1.56 μB/f.u.
data_LiCaTc
_symmetry_space_group_name_H-M 'I 4 m m'
_symmetry_Int_Tables_number 107
_symmetry_space_group_name_Hall 'I 4 -2'
_cell_length_a 3.3087
_cell_length_b 3.3087
_cell_length_c 10.8846
_cell_angle_alpha 90.00
_cell_angle_beta 90.00
_cell_angle_gamma 90.00
loop_
_atom_site_label
_atom_site_type_symbol
_atom_site_fract_x
_atom_site_fract_y
_atom_site_fract_z
Li1 Li 0.0000 0.0000 0.0000
Ca1 Ca 0.0000 0.0000 0.7040
Tc1 Tc 0.0000 0.0000 0.3851

***

No. 6
# LaTl2Cl | Alexandria via LeMat-Bulk | PBE | optimized geometry
# **Energy relative to the elements, uncorrected**: -762.3 meV per atom
# **Energy**: -14.56 eV per formula unit
# **M_tot**: 0.00 μB/f.u.
data_LaTl2Cl
_symmetry_space_group_name_H-M 'I m m m'
_symmetry_Int_Tables_number 71
_symmetry_space_group_name_Hall '-I 2 2'
_cell_length_a 3.7131
_cell_length_b 4.5139
_cell_length_c 14.6242
_cell_angle_alpha 90.00
_cell_angle_beta 90.00
_cell_angle_gamma 90.00
loop_
_atom_site_label
_atom_site_type_symbol
_atom_site_fract_x
_atom_site_fract_y
_atom_site_fract_z
La1 La 0.0000 0.0000 0.0000
Tl1 Tl 0.0000 0.5000 0.2991
Cl1 Cl 0.0000 0.0000 0.5000

***

No. 7
# AlTc2Sb | Alexandria via LeMat-Bulk | PBE | optimized geometry
# **Energy relative to the elements, uncorrected**: 390.6 meV per atom
# **Energy**: -27.03 eV per formula unit
# **M_tot**: 0.00 μB/f.u.
data_AlTc2Sb
_symmetry_space_group_name_H-M 'I -4 2 d'
_symmetry_Int_Tables_number 122
_symmetry_space_group_name_Hall 'I -4 2bw'
_cell_length_a 4.0740
_cell_length_b 4.0740
_cell_length_c 18.0549
_cell_angle_alpha 90.00
_cell_angle_beta 90.00
_cell_angle_gamma 90.00
loop_
_atom_site_label
_atom_site_type_symbol
_atom_site_fract_x
_atom_site_fract_y
_atom_site_fract_z
Al1 Al 0.0000 0.0000 0.0000
Tc1 Tc 0.1739 0.2500 0.1250
Sb1 Sb 0.0000 0.0000 0.5000

***

No. 8
# Mn2Zn | Alexandria via LeMat-Bulk | PBE | optimized geometry
# **Energy of formation from the pure elements**: 0.589 eV per atom
# **Energy**: -17.85 eV per formula unit
# **M_tot**: 0.00 μB/f.u.
data_Mn2Zn
_symmetry_space_group_name_H-M 'I 41/a m d'
_symmetry_Int_Tables_number 141
_cell_length_a 3.2492
_cell_length_b 3.2492
_cell_length_c 14.8896
_cell_angle_alpha 90.00
_cell_angle_beta 90.00
_cell_angle_gamma 90.00
loop_
_symmetry_equiv_pos_as_xyz
'x,y,z'
'-x,-y,-z'
'-y+1/4,x+3/4,z+1/4'
'y+1/4,-x+3/4,-z+1/4'
'-x+1/2,-y,z+1/2'
'x+1/2,y,-z+1/2'
'y+1/4,-x+1/4,z+3/4'
'-y+1/4,x+1/4,-z+3/4'
'x,-y,-z'
'-x,y,z'
'-y+1/4,-x+1/4,-z+3/4'
'y+1/4,x+1/4,z+3/4'
'-x+1/2,y,-z+1/2'
'x+1/2,-y,z+1/2'
'y+1/4,x+3/4,-z+1/4'
'-y+1/4,-x+3/4,z+1/4'
'x+1/2,y+1/2,z+1/2'
'-x+1/2,-y+1/2,-z+1/2'
'-y+3/4,x+1/4,z+3/4'
'y+3/4,-x+1/4,-z+3/4'
'-x,-y+1/2,z'
'x,y+1/2,-z'
'y+3/4,-x+3/4,z+1/4'
'-y+3/4,x+3/4,-z+1/4'
'x+1/2,-y+1/2,-z+1/2'
'-x+1/2,y+1/2,z+1/2'
'-y+3/4,-x+3/4,-z+1/4'
'y+3/4,x+3/4,z+1/4'
'-x,y+1/2,-z'
'x,-y+1/2,z'
'y+3/4,x+1/4,-z+3/4'
'-y+3/4,-x+1/4,z+3/4'
loop_
_atom_site_label
_atom_site_type_symbol
_atom_site_fract_x
_atom_site_fract_y
_atom_site_fract_z
Mn1 Mn 0.0000 0.2500 0.2933
Zn1 Zn 0.0000 0.2500 0.8750

***

No. 9
# PbBr | Alexandria via LeMat-Bulk | PBE | optimized geometry
# **Energy relative to the elements, uncorrected**: -357.8 meV per atom
# **Energy**: -6.10 eV per formula unit
# **M_tot**: 0.00 μB/f.u.
data_PbBr
_symmetry_space_group_name_H-M 'P 4/n m m'
_symmetry_Int_Tables_number 129
_cell_length_a 3.9309
_cell_length_b 3.9309
_cell_length_c 8.3738
_cell_angle_alpha 90.00
_cell_angle_beta 90.00
_cell_angle_gamma 90.00
loop_
_symmetry_equiv_pos_as_xyz
'x,y,z'
'-x,-y,-z'
'-y+1/2,x,z'
'y+1/2,-x,-z'
'-x+1/2,-y+1/2,z'
'x+1/2,y+1/2,-z'
'y,-x+1/2,z'
'-y,x+1/2,-z'
'x+1/2,-y,-z'
'-x+1/2,y,z'
'-y,-x,-z'
'y,x,z'
'-x,y+1/2,-z'
'x,-y+1/2,z'
'y+1/2,x+1/2,-z'
'-y+1/2,-x+1/2,z'
loop_
_atom_site_label
_atom_site_type_symbol
_atom_site_fract_x
_atom_site_fract_y
_atom_site_fract_z
Pb1 Pb 0.2500 0.2500 0.1244
Br1 Br 0.2500 0.2500 0.6815

***

No. 10
# NdZnCuNi2 | Alexandria via LeMat-Bulk | PBE | optimized geometry
# **Energy of formation from the pure elements**: -0.225 eV per atom
# **Energy**: -22.82 eV per formula unit
# **M_tot**: 0.00 μB/f.u.
data_NdZnCuNi2
_symmetry_space_group_name_H-M 'I m m 2'
_symmetry_Int_Tables_number 44
_symmetry_space_group_name_Hall 'I 2 -2'
_cell_length_a 3.8620
_cell_length_b 3.9108
_cell_length_c 10.8639
_cell_angle_alpha 90.00
_cell_angle_beta 90.00
_cell_angle_gamma 90.00
loop_
_atom_site_label
_atom_site_type_symbol
_atom_site_fract_x
_atom_site_fract_y
_atom_site_fract_z
Nd1 Nd 0.0000 0.0000 0.0000
Zn1 Zn 0.0000 0.5000 0.7585
Cu1 Cu 0.0000 0.0000 0.6205
Ni1 Ni 0.0000 0.0000 0.3974
Ni2 Ni 0.0000 0.5000 0.2645

***

No. 11
# PaTcW2 | Alexandria via LeMat-Bulk | PBE | optimized geometry
# **Energy of formation from the pure elements**: 0.216 eV per atom
# **Energy**: -44.91 eV per formula unit
# **M_tot**: 0.00 μB/f.u.
data_PaTcW2
_symmetry_space_group_name_H-M 'P 4/m m m'
_symmetry_Int_Tables_number 123
_symmetry_space_group_name_Hall '-P 4 2'
_cell_length_a 3.0284
_cell_length_b 3.0284
_cell_length_c 7.9188
_cell_angle_alpha 90.00
_cell_angle_beta 90.00
_cell_angle_gamma 90.00
loop_
_atom_site_label
_atom_site_type_symbol
_atom_site_fract_x
_atom_site_fract_y
_atom_site_fract_z
Pa1 Pa 0.0000 0.0000 0.0000
Tc1 Tc 0.0000 0.0000 0.5000
W1 W 0.5000 0.5000 0.2938

***

No. 12
# LiAcOsN3 | Alexandria via LeMat-Bulk | PBE | optimized geometry
# **Energy relative to the elements, uncorrected**: -298.1 meV per atom
# **Energy**: -44.02 eV per formula unit
# **M_tot**: 0.00 μB/f.u.
data_LiAcOsN3
_symmetry_space_group_name_H-M 'C m c m'
_symmetry_Int_Tables_number 63
_symmetry_space_group_name_Hall '-C 2c 2'
_cell_length_a 3.5107
_cell_length_b 12.0454
_cell_length_c 8.1907
_cell_angle_alpha 90.00
_cell_angle_beta 90.00
_cell_angle_gamma 90.00
loop_
_atom_site_label
_atom_site_type_symbol
_atom_site_fract_x
_atom_site_fract_y
_atom_site_fract_z
Li1 Li 0.0000 0.0000 0.0000
Ac1 Ac 0.0000 0.3005 0.2500
Os1 Os 0.0000 0.4398 0.7500
N1 N 0.0000 0.0279 0.7500
N2 N 0.0000 0.3616 0.5599